a.
Here is a relaxed Zr4ZnAg crystal from Alexandria via LeMat-Bulk. Energies are from GGA-PBE.

It has space group F-43m (No. 216), with a = 12.650 Å, b = 12.650 Å, c = 12.650 Å, α = 90.00°, β = 90.00° and γ = 90.00°. The inequivalent atoms are Zr at (0.000, 0.000, 0.185), Zr at (0.064, 0.250, 0.250), Zr at (0.130, 0.130, 0.630), Zn at (0.156, 0.156, 0.844) and Ag at (0.084, 0.084, 0.416).

The density of states at the Fermi level comes out at 6.884 states/eV/f.u. The calculation puts the spin magnetization at 0.01 μB per cell.


b.
Here is a relaxed Zr4ZnAg crystal from Alexandria via LeMat-Bulk. Energies are from GGA-PBE.

It has space group P2_1/c (No. 14), with a = 5.714 Å, b = 7.843 Å, c = 5.708 Å, α = 90.00°, β = 90.06° and γ = 90.00°. The inequivalent atoms are Zr at (0.219, 0.127, 0.000), Zr at (0.246, 0.749, 0.251), Zn at (0.000, 0.000, 0.500) and Ag at (0.500, 0.000, 0.500).

The density of states at the Fermi level comes out at 7.203 states/eV/f.u. The calculation puts the spin magnetization at 0.00 μB per cell.


How do the energies compare? Relative to the most stable structure, in eV/atom: a 0.000; b 0.077.


a.
Here is a relaxed Zr2Zn2Ag crystal from Alexandria via LeMat-Bulk. Energies are from GGA-PBE.

It has space group P4/mbm (No. 127), with a = 6.808 Å, b = 6.808 Å, c = 4.046 Å, α = 90.00°, β = 90.00° and γ = 90.00°. The inequivalent atoms are Zr at (0.168, 0.332, 0.000), Zn at (0.131, 0.631, 0.500) and Ag at (0.000, 0.000, 0.500).

The density of states at the Fermi level comes out at 3.511 states/eV/f.u. The calculation puts the spin magnetization at 0.00 μB per cell.


b.
Here is a relaxed Zr2Zn2Ag crystal from Alexandria via LeMat-Bulk. Energies are from GGA-PBE.

It has space group P4/mbm (No. 127), with a = 8.350 Å, b = 8.350 Å, c = 2.854 Å, α = 90.00°, β = 90.00° and γ = 90.00°. The inequivalent atoms are Zr at (0.132, 0.368, 0.000), Zn at (0.165, 0.665, 0.500) and Ag at (0.000, 0.000, 0.000).

The density of states at the Fermi level comes out at 5.067 states/eV/f.u. The calculation puts the spin magnetization at 0.00 μB per cell.


How do the energies compare? Relative to the most stable structure, in eV/atom: a 0.000; b 0.322.